Version 1
Tb3ThTe4 | GGA-PBE | optimized geometry

CIF file:
```
data_Tb3ThTe4
_cell_length_a 8.8616
_cell_length_b 12.4543
_cell_length_c 4.3611
_cell_angle_alpha 90.00
_cell_angle_beta 90.00
_cell_angle_gamma 90.00
_space_group_name_H-M_alt 'C m m m'
_space_group_IT_number 65
_space_group_name_Hall '-C 2 2'
loop_
_atom_site_label
_atom_site_fract_x
_atom_site_fract_y
_atom_site_fract_z
Tb1 0.0000 0.0000 0.0000
Tb2 0.2500 0.2500 0.5000
Th1 0.0000 0.5000 0.0000
Te1 0.0000 0.2464 0.0000
Te2 0.2423 0.0000 0.5000
```

- crystal system = orthorhombic
- M_tot (Bohr magnetons per cell) = 0.00
- volume (A^3/atom) = 30.08



Version 2
Tb3ThTe4 | GGA-PBE | optimized geometry

CIF file:
```
data_Tb3ThTe4
_cell_length_a 4.2810
_cell_length_b 4.2810
_cell_length_c 30.2655
_cell_angle_alpha 90.00
_cell_angle_beta 90.00
_cell_angle_gamma 120.00
_space_group_name_H-M_alt 'P 63/m m c'
_space_group_IT_number 194
_space_group_name_Hall '-P 6c 2c'
loop_
_atom_site_label
_atom_site_fract_x
_atom_site_fract_y
_atom_site_fract_z
Tb1 0.0000 0.0000 0.0000
Tb2 0.3333 0.6667 0.1220
Th1 0.3333 0.6667 0.7500
Te1 0.0000 0.0000 0.1830
Te2 0.3333 0.6667 0.5610
```

- crystal system = hexagonal
- M_tot (Bohr magnetons per cell) = 0.00
- volume (A^3/atom) = 30.02



Which one sits at the top of the stability order? version 2 does.



Version 1
Tb5Tl2Te | GGA-PBE | optimized geometry

CIF file:
```
data_Tb5Tl2Te
_cell_length_a 6.0700
_cell_length_b 12.8860
_cell_length_c 12.9142
_cell_angle_alpha 90.00
_cell_angle_beta 90.00
_cell_angle_gamma 90.00
_space_group_name_H-M_alt 'C m c m'
_space_group_IT_number 63
_space_group_name_Hall '-C 2c 2'
loop_
_atom_site_label
_atom_site_fract_x
_atom_site_fract_y
_atom_site_fract_z
Tb1 0.0000 0.0626 0.1062
Tb2 0.0000 0.3834 0.0555
Tb3 0.0000 0.3966 0.7500
Tl1 0.0000 0.1936 0.6139
Te1 0.0000 0.2444 0.2500
```

- crystal system = orthorhombic
- M_tot (Bohr magnetons per cell) = 0.00
- volume (A^3/atom) = 31.57



Version 2
Tb5Tl2Te | GGA-PBE | optimized geometry

CIF file:
```
data_Tb5Tl2Te
_cell_length_a 8.4753
_cell_length_b 12.3935
_cell_length_c 4.5592
_cell_angle_alpha 90.00
_cell_angle_beta 90.00
_cell_angle_gamma 90.00
_space_group_name_H-M_alt 'P b a m'
_space_group_IT_number 55
loop_
_space_group_symop_operation_xyz
'x,y,z'
'-x,-y,-z'
'-x,-y,z'
'x,y,-z'
'x+1/2,-y+1/2,-z'
'-x+1/2,y+1/2,z'
'-x+1/2,y+1/2,-z'
'x+1/2,-y+1/2,z'
loop_
_atom_site_label
_atom_site_fract_x
_atom_site_fract_y
_atom_site_fract_z
Tb1 0.0000 0.0000 0.0000
Tb2 0.1613 0.2825 0.0000
Tb3 0.2111 0.5757 0.5000
Tl1 0.0728 0.8234 0.5000
Te1 0.0000 0.5000 0.0000
```

- crystal system = orthorhombic
- M_tot (Bohr magnetons per cell) = 0.00
- volume (A^3/atom) = 29.93



Which one sits at the top of the stability order? version 2 does.



Version 1
Tb4TlTe3 | GGA-PBE | optimized geometry

CIF file:
```
data_Tb4TlTe3
_cell_length_a 7.6078
_cell_length_b 8.8200
_cell_length_c 7.6026
_cell_angle_alpha 90.00
_cell_angle_beta 109.55
_cell_angle_gamma 90.00
_space_group_name_H-M_alt 'P 1 2/c 1'
_space_group_IT_number 13
loop_
_space_group_symop_operation_xyz
'x,y,z'
'-x,-y,-z'
'-x,y,-z+1/2'
'x,-y,z+1/2'
loop_
_atom_site_label
_atom_site_fract_x
_atom_site_fract_y
_atom_site_fract_z
Tb1 0.2417 0.1205 0.0005
Tb2 0.2423 0.3674 0.4922
Tl1 0.0000 0.1247 0.2500
Te1 0.0000 0.3760 0.7500
Te2 0.5000 0.1269 0.7500
Te3 0.5000 0.3785 0.2500
```

- crystal system = monoclinic
- M_tot (Bohr magnetons per cell) = 0.00
- volume (A^3/atom) = 30.05



Version 2
Tb4TlTe3 | GGA-PBE | optimized geometry

CIF file:
```
data_Tb4TlTe3
_cell_length_a 8.8347
_cell_length_b 12.4268
_cell_length_c 4.3741
_cell_angle_alpha 90.00
_cell_angle_beta 90.00
_cell_angle_gamma 90.00
_space_group_name_H-M_alt 'C m m m'
_space_group_IT_number 65
_space_group_name_Hall '-C 2 2'
loop_
_atom_site_label
_atom_site_fract_x
_atom_site_fract_y
_atom_site_fract_z
Tb1 0.0000 0.2435 0.0000
Tb2 0.2415 0.0000 0.5000
Tl1 0.0000 0.0000 0.0000
Te1 0.0000 0.5000 0.0000
Te2 0.2500 0.2500 0.5000
```

- crystal system = orthorhombic
- M_tot (Bohr magnetons per cell) = 0.00
- volume (A^3/atom) = 30.01



Which one sits at the top of the stability order? version 1 does.



Version 1
Tb4TlTe | GGA-PBE | optimized geometry

CIF file:
```
data_Tb4TlTe
_cell_length_a 6.1815
_cell_length_b 8.4604
_cell_length_c 8.0343
_cell_angle_alpha 90.00
_cell_angle_beta 107.99
_cell_angle_gamma 90.00
_space_group_name_H-M_alt 'P 1 21/m 1'
_space_group_IT_number 11
loop_
_space_group_symop_operation_xyz
'x,y,z'
'-x,-y,-z'
'-x,y+1/2,-z'
'x,-y+1/2,z'
loop_
_atom_site_label
_atom_site_fract_x
_atom_site_fract_y
_atom_site_fract_z
Tb1 0.0374 0.0458 0.2527
Tb2 0.3680 0.2500 0.0158
Tb3 0.4421 0.7500 0.4940
Tl1 0.1933 0.7500 0.0729
Te1 0.1000 0.2500 0.5844
```

- crystal system = monoclinic
- M_tot (Bohr magnetons per cell) = 0.00
- volume (A^3/atom) = 33.30



Version 2
Tb4TlTe | GGA-PBE | optimized geometry

CIF file:
```
data_Tb4TlTe
_cell_length_a 7.4037
_cell_length_b 4.6807
_cell_length_c 21.0885
_cell_angle_alpha 90.00
_cell_angle_beta 90.00
_cell_angle_gamma 90.00
_space_group_name_H-M_alt 'P n m a'
_space_group_IT_number 62
loop_
_space_group_symop_operation_xyz
'x,y,z'
'-x,-y,-z'
'-x+1/2,-y,z+1/2'
'x+1/2,y,-z+1/2'
'x+1/2,-y+1/2,-z+1/2'
'-x+1/2,y+1/2,z+1/2'
'-x,y+1/2,-z'
'x,-y+1/2,z'
loop_
_atom_site_label
_atom_site_fract_x
_atom_site_fract_y
_atom_site_fract_z
Tb1 0.0530 0.2500 0.0775
Tb2 0.0713 0.2500 0.3586
Tb3 0.0851 0.2500 0.7830
Tb4 0.1405 0.2500 0.5282
Tl1 0.2146 0.2500 0.9289
Te1 0.2045 0.2500 0.2158
```

- crystal system = orthorhombic
- M_tot (Bohr magnetons per cell) = 0.00
- volume (A^3/atom) = 30.45



Which one sits at the top of the stability order? version 2 does.



Version 1
Tb3TlTe | GGA-PBE | optimized geometry

CIF file:
```
data_Tb3TlTe
_cell_length_a 5.1505
_cell_length_b 6.3400
_cell_length_c 9.2586
_cell_angle_alpha 90.00
_cell_angle_beta 106.14
_cell_angle_gamma 90.00
_space_group_name_H-M_alt 'P 1 21/m 1'
_space_group_IT_number 11
loop_
_space_group_symop_operation_xyz
'x,y,z'
'-x,-y,-z'
'-x,y+1/2,-z'
'x,-y+1/2,z'
loop_
_atom_site_label
_atom_site_fract_x
_atom_site_fract_y
_atom_site_fract_z
Tb1 0.0000 0.0000 0.0000
Tb2 0.1876 0.2500 0.3741
Tb3 0.3923 0.2500 0.7839
Tl1 0.1962 0.7500 0.3929
Te1 0.4269 0.7500 0.8542
```

- crystal system = monoclinic
- M_tot (Bohr magnetons per cell) = 0.00
- volume (A^3/atom) = 29.04



Version 2
Tb3TlTe | GGA-PBE | optimized geometry

CIF file:
```
data_Tb3TlTe
_cell_length_a 8.1991
_cell_length_b 4.4828
_cell_length_c 16.3398
_cell_angle_alpha 90.00
_cell_angle_beta 90.00
_cell_angle_gamma 90.00
_space_group_name_H-M_alt 'P n m a'
_space_group_IT_number 62
loop_
_space_group_symop_operation_xyz
'x,y,z'
'-x,-y,-z'
'-x+1/2,-y,z+1/2'
'x+1/2,y,-z+1/2'
'x+1/2,-y+1/2,-z+1/2'
'-x+1/2,y+1/2,z+1/2'
'-x,y+1/2,-z'
'x,-y+1/2,z'
loop_
_atom_site_label
_atom_site_fract_x
_atom_site_fract_y
_atom_site_fract_z
Tb1 0.0143 0.2500 0.1087
Tb2 0.1336 0.2500 0.5590
Tb3 0.1822 0.7500 0.2626
Tl1 0.0870 0.7500 0.6952
Te1 0.2243 0.2500 0.9483
```

- crystal system = orthorhombic
- M_tot (Bohr magnetons per cell) = 0.00
- volume (A^3/atom) = 30.03



Which one sits at the top of the stability order? version 2 does.



Version 1
TbTmTe2 | GGA-PBE | optimized geometry

CIF file:
```
data_TbTmTe2
_cell_length_a 7.5406
_cell_length_b 7.5406
_cell_length_c 7.5406
_cell_angle_alpha 90.00
_cell_angle_beta 90.00
_cell_angle_gamma 90.00
_space_group_name_H-M_alt 'F m -3 m'
_space_group_IT_number 225
_space_group_name_Hall '-F 4 2 3'
loop_
_atom_site_label
_atom_site_fract_x
_atom_site_fract_y
_atom_site_fract_z
Tb1 0.0000 0.0000 0.0000
Tm1 0.0000 0.0000 0.5000
Te1 0.2500 0.2500 0.2500
```

- crystal system = cubic
- M_tot (Bohr magnetons per cell) = 4.98
- volume (A^3/atom) = 26.80



Version 2
TbTmTe2 | GGA-PBE | optimized geometry

CIF file:
```
data_TbTmTe2
_cell_length_a 4.4455
_cell_length_b 9.6710
_cell_length_c 8.1397
_cell_angle_alpha 90.00
_cell_angle_beta 123.01
_cell_angle_gamma 90.00
_space_group_name_H-M_alt 'P 1 c 1'
_space_group_IT_number 7
loop_
_space_group_symop_operation_xyz
'x,y,z'
'x,-y,z+1/2'
loop_
_atom_site_label
_atom_site_fract_x
_atom_site_fract_y
_atom_site_fract_z
Tb1 0.0000 0.0855 0.0000
Tm1 0.1609 0.3223 0.6604
Te1 0.7787 0.1790 0.2795
Te2 0.9111 0.4133 0.9112
```

- crystal system = monoclinic
- M_tot (Bohr magnetons per cell) = 0.00
- volume (A^3/atom) = 36.68



Which one sits at the top of the stability order? version 1 does.